# 1
CaTaPb | PBEsol | relaxed

a b c (Å): 4.8901 4.8901 4.8901
angles (deg): 60.00 60.00 60.00
Fractional positions:
Pb  0.2500  0.2500  0.2500
Ca  0.5000  0.5000  0.5000
Ta  0.0000  0.0000  0.0000

Values from the calculation:
N(E_F)   3.04 states/eV/cell
Energy of formation from the pure elements   0.79 eV per atom
Symmetry   F-43m, No. 216
Size of the total moment   2.2 μB per cell
Energy relative to the lowest polymorph listed for this composition   0.3703 eV per atom



# 2
NaCaTi2 | PBEsol | relaxed

a b c (Å): 5.0710 5.0710 5.0710
angles (deg): 60.00 60.00 60.00
Fractional positions:
Na  0.0000  0.0000  0.0000
Ca  0.5000  0.5000  0.5000
Ti  0.2500  0.2500  0.2500
Ti  0.7500  0.7500  0.7500

Values from the calculation:
N(E_F)   7.06 states/eV/cell
Energy of formation from the pure elements   1.05 eV per atom
Symmetry   Fm-3m, No. 225
Size of the total moment   0.3 μB per cell



# 3
Na3AlP3NO9 | PBEsol | relaxed

a b c (Å): 9.3096 9.3096 9.3096
angles (deg): 90.00 90.00 90.00
Fractional positions:
Na  0.9509  0.0491  0.5491
Na  0.7602  0.7398  0.2602
Na  0.7398  0.2602  0.7602
Na  0.2602  0.7602  0.7398
Na  0.2398  0.2398  0.2398
Na  0.1418  0.3582  0.6418
Na  0.3582  0.6418  0.1418
Na  0.6418  0.1418  0.3582
Na  0.4509  0.4509  0.4509
Na  0.8582  0.8582  0.8582
Na  0.0491  0.5491  0.9509
Na  0.5491  0.9509  0.0491
Al  0.3321  0.1679  0.8321
Al  0.1679  0.8321  0.3321
Al  0.8321  0.3321  0.1679
Al  0.6679  0.6679  0.6679
P  0.1715  0.9206  0.0101
P  0.0101  0.1715  0.9206
P  0.9206  0.0101  0.1715
P  0.9899  0.6715  0.5794
P  0.4899  0.8285  0.4206
P  0.5794  0.9899  0.6715
P  0.8285  0.4206  0.4899
P  0.6715  0.5794  0.9899
P  0.4206  0.4899  0.8285
P  0.0794  0.5101  0.3285
P  0.5101  0.3285  0.0794
P  0.3285  0.0794  0.5101
N  0.9428  0.5572  0.4428
N  0.5572  0.4428  0.9428
N  0.4428  0.9428  0.5572
N  0.0572  0.0572  0.0572
O  0.3497  0.7521  0.3794
O  0.5875  0.6995  0.0595
O  0.9125  0.3005  0.5595
O  0.6995  0.0595  0.5875
O  0.5595  0.9125  0.3005
O  0.0595  0.5875  0.6995
O  0.8005  0.9405  0.0875
O  0.9405  0.0875  0.8005
O  0.2521  0.1206  0.6503
O  0.6503  0.2521  0.1206
O  0.1206  0.6503  0.2521
O  0.3794  0.3497  0.7521
O  0.1503  0.2479  0.8794
O  0.3005  0.5595  0.9125
O  0.8497  0.7479  0.6206
O  0.0875  0.8005  0.9405
O  0.6206  0.8497  0.7479
O  0.7521  0.3794  0.3497
O  0.7479  0.6206  0.8497
O  0.2479  0.8794  0.1503
O  0.2179  0.0152  0.4054
O  0.4054  0.2179  0.0152
O  0.0152  0.4054  0.2179
O  0.4848  0.5946  0.7179
O  0.9054  0.2821  0.9848
O  0.9848  0.9054  0.2821
O  0.0946  0.7821  0.5152
O  0.5946  0.7179  0.4848
O  0.5152  0.0946  0.7821
O  0.7179  0.4848  0.5946
O  0.7821  0.5152  0.0946
O  0.2821  0.9848  0.9054
O  0.4125  0.1995  0.4405
O  0.4405  0.4125  0.1995
O  0.1995  0.4405  0.4125
O  0.8794  0.1503  0.2479

Values from the calculation:
N(E_F)   0.00 states/eV/cell
Formation energy (no corrections)   -2.276 eV per atom
Symmetry   P2_13, No. 198
Size of the total moment   0.0 μB per cell